Record 1
A plane-wave DFT calculation with PBE-GGA was carried out for a relaxed structure of Ce3Ga4Au4.

abc: 13.811 13.811 13.811
angles: 163.74 160.96 25.13
Atoms (fractional coordinates):
Ce: 0.000 0.000 0.000
Ce: 0.355 0.855 0.500
Ce: 0.645 0.145 0.500
Ga: 0.191 0.691 0.500
Ga: 0.453 0.453 0.000
Ga: 0.547 0.547 0.000
Ga: 0.809 0.309 0.500
Au: 0.094 0.594 0.500
Au: 0.259 0.259 0.000
Au: 0.741 0.741 0.000
Au: 0.906 0.406 0.500

* calculated volume: 240 Å³/f.u.
* symmetry: Immm, No. 71
* total DFT energy (no corrections): -49.8 eV/cell


Record 2
A plane-wave DFT calculation with PBE-GGA was carried out for a relaxed structure of CeGaAu11.

abc: 7.288 7.288 7.187
angles: 96.72 96.72 135.49
Atoms (fractional coordinates):
Ce: 0.000 0.000 0.000
Ga: 0.500 0.500 0.500
Au: 0.000 0.000 0.500
Au: 0.000 0.500 0.000
Au: 0.031 0.680 0.652
Au: 0.319 0.528 0.782
Au: 0.320 0.969 0.348
Au: 0.472 0.681 0.218
Au: 0.500 0.000 0.000
Au: 0.528 0.319 0.782
Au: 0.680 0.031 0.652
Au: 0.681 0.472 0.218
Au: 0.969 0.320 0.348

* calculated volume: 255 Å³/f.u.
* symmetry: C2/m, No. 12
* total DFT energy (no corrections): -47.7 eV/cell


Record 3
A plane-wave DFT calculation with PBE-GGA was carried out for a relaxed structure of Ce4GaAu.

abc: 7.749 7.749 5.995
angles: 104.30 104.30 112.83
Atoms (fractional coordinates):
Ce: 0.065 0.653 0.906
Ce: 0.218 0.422 0.683
Ce: 0.347 0.935 0.594
Ce: 0.422 0.218 0.183
Ce: 0.578 0.782 0.817
Ce: 0.653 0.065 0.406
Ce: 0.782 0.578 0.317
Ce: 0.935 0.347 0.094
Ga: 0.392 0.608 0.250
Ga: 0.608 0.392 0.750
Au: 0.003 0.997 0.250
Au: 0.997 0.003 0.750

* calculated volume: 148 Å³/f.u.
* symmetry: C2/c, No. 15
* relative energy among the computed polymorphs: 0 meV per atom
* total DFT energy (no corrections): -64.6 eV/cell